No. 1
V6FeNi | PBE | optimized geometry

Values from the calculation:
The final energy comes out at -70.30 eV/cell. The total magnetization is 0.00 μB per atom. The density of states at the Fermi level is 6.7 states/eV/cell. The theoretical density is 6.897 g/cm³.

Lattice parameters (Å, degrees): 4.659 4.659 4.659 90.00 90.00 90.00
Fractional coordinates of all 8 atoms:
1 V 0.000 0.500 0.748
2 V 0.500 0.252 0.000
3 V 0.748 0.000 0.500
4 V 0.000 0.500 0.252
5 V 0.500 0.748 0.000
6 V 0.252 0.000 0.500
7 Fe 0.500 0.500 0.500
8 Ni 0.000 0.000 0.000

No. 2
V2Fe2Ni | PBE | optimized geometry

Values from the calculation:
The value obtained for the polymorph energy (0 for the lowest one) is 0 meV/atom. The final energy comes out at -81.74 eV/cell. The total magnetization is 0.00 μB per atom. The density of states at the Fermi level is 12.6 states/eV/cell. The theoretical density is 7.573 g/cm³.

Lattice parameters (Å, degrees): 6.575 6.575 2.762 90.00 90.00 90.00
Fractional coordinates of all 10 atoms:
1 Ni 0.000 0.000 0.000
2 Ni 0.500 0.500 0.000
3 Fe 0.363 0.863 0.000
4 Fe 0.863 0.637 0.000
5 Fe 0.637 0.137 0.000
6 Fe 0.137 0.363 0.000
7 V 0.164 0.664 0.500
8 V 0.664 0.836 0.500
9 V 0.836 0.336 0.500
10 V 0.336 0.164 0.500

No. 3
V3Fe3Ni | PBE | optimized geometry

Values from the calculation:
The final energy comes out at -116.09 eV/cell. The total magnetization is 0.22 μB per atom. The density of states at the Fermi level is 16.6 states/eV/cell. The theoretical density is 7.378 g/cm³.

Lattice parameters (Å, degrees): 5.689 5.689 5.274 90.00 90.00 91.69
Last column: magnetic moment on the atom in μB.
Fractional coordinates of all 14 atoms:
1 V 0.304 0.304 0.500  -0.24
2 V 0.225 0.775 0.500  -0.39
3 V 0.775 0.225 0.500  -0.39
4 V 0.317 0.683 0.000  -0.27
5 V 0.683 0.317 0.000  -0.27
6 V 0.696 0.696 0.500  -0.24
7 Fe 0.000 0.000 0.769  1.35
8 Fe 0.500 0.000 0.246  0.48
9 Fe 0.000 0.500 0.246  0.48
10 Fe 0.500 0.000 0.754  0.48
11 Fe 0.000 0.500 0.754  0.48
12 Fe 0.000 0.000 0.231  1.35
13 Ni 0.263 0.263 0.000  0.21
14 Ni 0.737 0.737 0.000  0.21